Record 1
# LaInIr3 | Alexandria via LeMat-Bulk | PBEsol | optimized geometry
data_LaInIr3
_space_group_name_H-M_alt 'P 1'
_space_group_IT_number 1
_space_group_name_Hall 'P 1'
_cell_length_a 4.830
_cell_length_b 4.830
_cell_length_c 4.830
_cell_angle_alpha 90.00
_cell_angle_beta 90.00
_cell_angle_gamma 90.00
loop_
_atom_site_label
_atom_site_fract_x
_atom_site_fract_y
_atom_site_fract_z
La1 0.000 0.000 0.000
In1 0.500 0.500 0.500
Ir1 0.000 0.500 0.500
Ir2 0.500 0.000 0.500
Ir3 0.500 0.500 0.000
# * total energy: -6.60 eV/atom
# * formation energy from the elements: 0.955 eV/atom
# * DOS at the Fermi energy: 1.18 states/eV/atom


Record 2
# NdSi3N5 | Alexandria via LeMat-Bulk | PBEsol | optimized geometry
data_NdSi3N5
_space_group_name_H-M_alt 'P 1'
_space_group_IT_number 1
_space_group_name_Hall 'P 1'
_cell_length_a 4.765
_cell_length_b 7.821
_cell_length_c 11.182
_cell_angle_alpha 90.00
_cell_angle_beta 90.00
_cell_angle_gamma 90.00
loop_
_atom_site_label
_atom_site_fract_x
_atom_site_fract_y
_atom_site_fract_z
Nd1 0.006 0.062 0.171
Nd2 0.494 0.938 0.671
Nd3 0.506 0.438 0.829
Nd4 0.994 0.562 0.329
Si1 0.013 0.292 0.583
Si2 0.021 0.161 0.837
Si3 0.030 0.467 0.041
Si4 0.470 0.533 0.541
Si5 0.479 0.839 0.337
Si6 0.487 0.708 0.083
Si7 0.513 0.208 0.417
Si8 0.521 0.339 0.163
Si9 0.530 0.033 0.959
Si10 0.970 0.967 0.459
Si11 0.979 0.661 0.663
Si12 0.987 0.792 0.917
N1 0.050 0.342 0.919
N2 0.174 0.388 0.170
N3 0.179 0.206 0.703
N4 0.191 0.979 0.904
N5 0.214 0.647 0.986
N6 0.286 0.353 0.486
N7 0.309 0.021 0.404
N8 0.321 0.794 0.203
N9 0.326 0.612 0.670
N10 0.450 0.658 0.419
N11 0.550 0.158 0.081
N12 0.674 0.112 0.830
N13 0.679 0.294 0.297
N14 0.691 0.521 0.096
N15 0.714 0.853 0.014
N16 0.786 0.147 0.514
N17 0.809 0.479 0.596
N18 0.821 0.706 0.797
N19 0.826 0.888 0.330
N20 0.950 0.842 0.581
# * total energy: -8.62 eV/atom
# * DOS at the Fermi energy: 0.00 states/eV/atom


Q: Which value of DOS at the Fermi energy does entry 2 give?
A: 0.00 states/eV/atom


Q: Which value of DOS at the Fermi energy does entry 1 give?
A: 1.18 states/eV/atom


Q: What is the total energy in the second record?
A: -8.62 eV/atom


Q: total energy of number 1 (LaInIr3)?
A: -6.60 eV/atom